--- i ---
Below is crystalline CsRb2IrBr6 at its relaxed geometry, with properties calculated at the PBE level.

a = 7.573 Å, b = 9.504 Å, c = 11.577 Å
α = 90.00°, β = 90.00°, γ = 90.00°
Element x y z (fractional)
Rb (0.500, 0.833, 0.204)
Rb (0.000, 0.167, 0.296)
Rb (0.000, 0.167, 0.704)
Rb (0.500, 0.833, 0.796)
Cs (0.000, 0.671, 0.500)
Cs (0.500, 0.329, 0.000)
Br (0.764, 0.633, 0.000)
Br (0.730, 0.988, 0.500)
Br (0.500, 0.184, 0.718)
Br (0.236, 0.633, 0.000)
Br (0.230, 0.012, 0.000)
Br (0.264, 0.367, 0.500)
Br (0.270, 0.988, 0.500)
Br (0.000, 0.816, 0.782)
Br (0.500, 0.184, 0.282)
Br (0.736, 0.367, 0.500)
Br (0.000, 0.816, 0.218)
Br (0.770, 0.012, 0.000)
Ir (0.000, 0.819, 0.000)
Ir (0.500, 0.181, 0.500)

For the total moment, the calculation gives 0.00 μB per formula unit. As for the symmetry: Pmmn (59).

---

--- ii ---
Below is crystalline CsRb2IrBr6 at its relaxed geometry, with properties calculated at the PBE level.

a = 8.264 Å, b = 8.264 Å, c = 8.263 Å
α = 60.00°, β = 60.00°, γ = 90.00°
Element x y z (fractional)
Br (0.785, 0.785, 0.429)
Br (0.215, 0.215, 0.000)
Br (0.215, 0.215, 0.571)
Br (0.785, 0.785, 0.000)
Br (0.785, 0.215, 0.000)
Br (0.215, 0.785, 0.000)
Cs (0.500, 0.500, 0.000)
Ir (0.000, 0.000, 0.000)
Rb (0.250, 0.750, 0.500)
Rb (0.750, 0.250, 0.500)

For the total moment, the calculation gives 0.00 μB per formula unit. As for the symmetry: Fm-3m (225). As for the density of states at the Fermi level: 0.00 states/eV/f.u.

---

Stability, highest: i